GeH: optimized geometry, GGA-PBE.

Cell: 7.283 10.280 5.300 Å, 90.00 90.00 90.00°
Positions (direct):
1 H 0.250 0.540 0.750
2 H 0.750 0.540 0.250
3 H 0.250 0.960 0.750
4 H 0.500 0.710 0.500
5 H 0.500 0.290 0.500
6 H 0.000 0.210 0.500
7 H 0.500 0.210 0.000
8 H 0.750 0.460 0.750
9 H 0.000 0.290 0.000
10 H 0.750 0.040 0.750
11 H 0.500 0.790 0.000
12 H 0.250 0.040 0.250
13 H 0.750 0.960 0.250
14 H 0.000 0.790 0.500
15 H 0.000 0.710 0.000
16 H 0.250 0.460 0.250
17 Ge 0.750 0.750 0.503
18 Ge 0.250 0.250 0.997
19 Ge 0.500 0.000 0.747
20 Ge 0.750 0.250 0.497
21 Ge 0.000 0.000 0.753
22 Ge 0.250 0.750 0.497
23 Ge 0.000 0.500 0.747
24 Ge 0.000 0.500 0.253
25 Ge 0.750 0.250 0.003
26 Ge 0.750 0.750 0.997
27 Ge 0.500 0.000 0.253
28 Ge 0.500 0.500 0.247
29 Ge 0.250 0.750 0.003
30 Ge 0.250 0.250 0.503
31 Ge 0.000 0.000 0.247
32 Ge 0.500 0.500 0.753

* E_tot: -0.2534 Ry/atom
* M_tot: 0.00 μB per formula unit